## Tl2CdSn3 (PBE)

Data for a relaxed Tl2CdSn3 crystal.

Lattice parameters (Å, degrees): 5.808 5.849 11.434 90.02 90.00 60.25
Atoms (fractional coordinates):
Tl 0.000 0.000 0.500
Tl 0.336 0.328 0.500
Sn 0.500 0.000 0.770
Sn 0.170 0.660 0.245
Tl 0.664 0.672 0.500
Sn 0.500 0.000 0.230
Tl 0.000 0.000 0.000
Cd 0.671 0.658 0.000
Sn 0.830 0.340 0.755
Cd 0.329 0.342 0.000
Sn 0.830 0.340 0.245
Sn 0.170 0.660 0.755

Summary:
Energy of formation from the pure elements: 0.063 eV per atom

=====

## Tl2CdSn6 (PBE)

Data for a relaxed Tl2CdSn6 crystal.

Lattice parameters (Å, degrees): 9.610 9.610 3.188 90.00 90.00 120.00
Atoms (fractional coordinates):
Sn 0.674 0.674 0.500
Sn 0.326 0.326 0.500
Sn 0.000 0.674 0.500
Cd 0.000 0.000 0.000
Sn 0.674 0.000 0.500
Tl 0.667 0.333 0.000
Sn 0.326 0.000 0.500
Tl 0.333 0.667 0.000
Sn 0.000 0.326 0.500

Summary:
Energy of formation from the pure elements: 0.045 eV per atom

=====

## Tl2CdSn (PBE)

Data for a relaxed Tl2CdSn crystal.

Lattice parameters (Å, degrees): 6.202 3.321 11.229 90.00 91.98 90.00
Atoms (fractional coordinates):
Cd 0.500 0.000 0.000
Tl 0.252 0.500 0.769
Tl 0.748 0.000 0.731
Sn 0.000 0.500 0.500
Tl 0.252 0.000 0.269
Cd 0.500 0.500 0.500
Tl 0.748 0.500 0.231
Sn 0.000 0.000 0.000

Summary:
Energy of formation from the pure elements: 0.049 eV per atom

=====

## Tl5CdSn4 (PBE)

Data for a relaxed Tl5CdSn4 crystal.

Lattice parameters (Å, degrees): 3.381 3.381 28.525 81.38 98.62 116.43
Atoms (fractional coordinates):
Sn 0.011 0.989 0.399
Tl 0.473 0.527 0.297
Cd 0.000 0.000 0.000
Tl 0.527 0.473 0.703
Tl 0.540 0.460 0.904
Sn 0.988 0.012 0.803
Tl 0.500 0.500 0.500
Sn 0.989 0.011 0.601
Tl 0.460 0.540 0.096
Sn 0.012 0.988 0.197

Summary:
Energy of formation from the pure elements: 0.047 eV per atom

=====

What did the third record say?
## Tl2CdSn (PBE)

Data for a relaxed Tl2CdSn crystal.

Lattice parameters (Å, degrees): 6.202 3.321 11.229 90.00 91.98 90.00
Atoms (fractional coordinates):
Cd 0.500 0.000 0.000
Tl 0.252 0.500 0.769
Tl 0.748 0.000 0.731
Sn 0.000 0.500 0.500
Tl 0.252 0.000 0.269
Cd 0.500 0.500 0.500
Tl 0.748 0.500 0.231
Sn 0.000 0.000 0.000

Summary:
Energy of formation from the pure elements: 0.049 eV per atom